A plane-wave DFT calculation with SCAN was carried out for Tc3Te at its PBEsol-relaxed geometry.

a = 2.9404 Å, b = 2.9404 Å, c = 8.4514 Å
α = 90.00°, β = 90.00°, γ = 120.00°
Atoms (fractional coordinates):
Tc  0.0000  0.0000  0.0000
Tc  0.6667  0.3333  0.2400
Tc  0.6667  0.3333  0.7600
Te  0.0000  0.0000  0.5000

Summary:
* space-group type: P-6m2, No. 187
* offset from the most stable computed form: 0.60 eV/f.u.



A plane-wave DFT calculation with SCAN was carried out for Tc3Te at its PBEsol-relaxed geometry.

a = 9.2604 Å, b = 2.9685 Å, c = 4.5988 Å
α = 90.00°, β = 97.49°, γ = 90.00°
Atoms (fractional coordinates):
Tc  0.0000  0.0000  0.0000
Tc  0.2352  0.5000  0.2222
Tc  0.2648  0.0000  0.7778
Tc  0.5000  0.5000  0.0000
Tc  0.7352  0.0000  0.2222
Tc  0.7648  0.5000  0.7778
Te  0.0000  0.5000  0.5000
Te  0.5000  0.0000  0.5000

Summary:
* space-group type: C2/m, No. 12
* offset from the most stable computed form: 0.00 eV/f.u.